Tb6ScHg5 (GGA-PBE, relaxed); DFT total energy = -0.24506 Ry per atom; total magnetic moment = 0.11 μB per atom; space group = Immm, No. 71; V = 26.43 Å³/atom
1.0
-2.586 3.859 7.945
2.586 -3.859 7.945
2.586 3.859 -7.945
Tb Sc Hg
6 1 5
Direct
0.078 0.330 0.748
0.232 0.000 0.232
0.418 0.670 0.748
0.582 0.330 0.252
0.768 0.000 0.768
0.922 0.670 0.252
0.500 0.500 0.000
0.000 0.500 0.500
0.169 0.169 0.000
0.354 0.854 0.500
0.646 0.146 0.500
0.831 0.831 0.000